Entry 1:
Ac3S2N2 PBE-GGA relaxed; symmetry = C2/m (12); E_form (uncorrected) = -1490 meV/atom; total moment = 0.99 μB per cell
1.0
4.2897 0.0000 0.0000
0.0000 7.0840 0.0136
-2.1449 -2.2394 6.2563
Ac N S
3 2 2
direct
0.3051 0.7469 0.6102
0.0000 0.5000 0.0000
0.6949 0.2531 0.3898
0.1538 0.3999 0.3076
0.8462 0.6001 0.6924
0.6224 0.7947 0.2447
0.3776 0.2053 0.7553

---

Entry 2:
Cs4K5Au3 PBE-GGA relaxed; symmetry = C2/m (12); total moment = 0.00 μB per cell; formation enthalpy at 0 K = -0.13 eV per atom
1.0
6.5706 0.0000 0.0000
-3.2853 12.5837 -3.7072
0.0000 0.1812 8.9925
Cs K Au
4 5 3
direct
0.1981 0.3962 0.0214
0.8019 0.6038 0.9786
0.8122 0.6244 0.5149
0.1878 0.3756 0.4851
0.6067 0.2133 0.7853
0.0000 0.0000 0.5000
0.4332 0.8663 0.7683
0.5668 0.1337 0.2317
0.3933 0.7867 0.2147
0.5000 0.0000 0.5000
0.3084 0.6169 0.8121
0.6916 0.3831 0.1879

---

Entry 3:
NbVCoPt PBE-GGA relaxed; E above lowest polymorph = 136.0 meV/atom; symmetry = F-43m (216); total moment = 0.57 μB per cell; formation enthalpy at 0 K = -0.22 eV per atom
1.0
4.3170 0.0000 0.0000
2.1585 3.7387 0.0000
2.1585 1.2462 3.5248
Nb V Co Pt
1 1 1 1
direct
0.7500 0.7500 0.7500
0.0000 0.0000 0.0000
0.5000 0.5000 0.5000
0.2500 0.2500 0.2500

---

Entry 4:
Al3Si2Ni3 PBE-GGA relaxed; E above lowest polymorph = 89.6 meV/atom; symmetry = P-62m (189); E_form (uncorrected) = -292 meV/atom; total moment = 0.00 μB per cell
1.0
-5.9827 2.7849 -1.2950
4.6098 -0.4825 -4.8726
-0.9538 -2.3598 -0.6687
Si Ni Al
2 3 3
direct
0.3333 0.6667 0.0000
0.6667 0.3333 0.0000
0.3841 0.0000 0.5000
0.6159 0.6159 0.5000
0.0000 0.3841 0.5000
0.0000 0.7631 0.0000
0.2369 0.2369 0.0000
0.7631 0.0000 0.0000

---

Entry 5:
Ba2TbRe2N6 PBE-GGA relaxed; symmetry = C2/m (12); E_form (uncorrected) = -764 meV/atom; total moment = 0.00 μB per cell
1.0
6.1796 0.0000 0.0000
-3.0898 5.4245 -0.4073
0.0000 -3.5768 6.3697
N Re Tb Ba
6 2 1 2
direct
0.8053 0.0922 0.7692
0.2869 0.0922 0.7692
0.7131 0.9078 0.2308
0.1947 0.9078 0.2308
0.2373 0.4746 0.3559
0.7627 0.5254 0.6441
0.9610 0.9220 0.7975
0.0390 0.0780 0.2025
0.5000 0.0000 0.5000
0.7150 0.4300 0.1903
0.2850 0.5700 0.8097

---

Entry 6:
CdIn2Sb PBE-GGA relaxed; E above lowest polymorph = 41.9 meV/atom; symmetry = R-3m (166); E_form (uncorrected) = 79 meV/atom; total moment = 0.00 μB per cell
1.0
-8.1224 -7.1182 1.4331
-5.9456 -9.1279 -0.1665
-5.7188 -8.7154 3.1674
In Sb Cd
2 1 1
direct
0.4977 0.4977 0.4977
0.0023 0.0023 0.0023
0.2500 0.2500 0.2500
0.7500 0.7500 0.7500

---

Entry 7:
Ca3NpAs4 PBE-GGA relaxed; symmetry = P2/c (13); total moment = 2.05 μB per cell; formation enthalpy at 0 K = -0.95 eV per atom
1.0
7.2794 0.0478 0.0000
-2.5055 6.7979 0.0000
0.0000 0.0000 8.4141
Ca As Np
6 8 2
direct
0.7500 0.0000 0.3774
0.2500 0.0000 0.6226
0.7500 0.5000 0.6195
0.2500 0.5000 0.8744
0.7500 0.5000 0.1256
0.2500 0.5000 0.3805
0.5013 0.2204 0.8902
0.9987 0.7796 0.8902
0.4823 0.2392 0.3579
0.5177 0.7608 0.6421
0.0177 0.7608 0.3579
0.0013 0.2204 0.1098
0.4987 0.7796 0.1098
0.9823 0.2392 0.6421
0.2500 0.0000 0.1304
0.7500 0.0000 0.8696

---

Entry 8:
Er4TlAuO PBE-GGA relaxed; symmetry = Cmcm (63); E_form (uncorrected) = -1177 meV/atom; total moment = 0.00 μB per cell
1.0
6.5629 0.0000 0.0000
0.0000 6.5705 0.0000
-3.2814 0.0000 7.6141
Er O Tl Au
8 2 2 2
direct
0.0812 0.7500 0.1623
0.5000 0.0000 0.5000
0.0000 0.5000 0.5000
0.4379 0.7500 0.8757
0.9188 0.2500 0.8377
0.0000 0.0000 0.5000
0.5621 0.2500 0.1243
0.5000 0.5000 0.5000
0.7585 0.2500 0.5169
0.2415 0.7500 0.4831
0.1141 0.2500 0.2283
0.8859 0.7500 0.7717
0.6220 0.7500 0.2439
0.3780 0.2500 0.7561

---

Entry 9:
LiCdPt PBE-GGA relaxed; E above lowest polymorph = 219.3 meV/atom; symmetry = F-43m (216); total moment = 0.00 μB per cell; formation enthalpy at 0 K = -0.25 eV per atom
1.0
4.4336 0.0000 0.0000
2.2168 3.8396 0.0000
2.2168 1.2799 3.6200
Li Pt Cd
1 1 1
direct
0.5000 0.5000 0.5000
0.7500 0.7500 0.7500
0.0000 0.0000 0.0000

---

Entry 10:
Dy2YIn2Hg2 PBE-GGA relaxed; symmetry = R-3m (166); total moment = 0.00 μB per cell; formation enthalpy at 0 K = -0.27 eV per atom
1.0
4.9362 0.0000 0.0000
2.4681 4.2749 0.0000
2.4681 1.4250 8.8611
Hg Dy Y In
2 2 1 2
direct
0.5732 0.5732 0.2804
0.4268 0.4268 0.7196
0.1312 0.1312 0.6064
0.8688 0.8688 0.3936
0.0000 0.0000 0.0000
0.2691 0.2691 0.1928
0.7309 0.7309 0.8072

---

Entry 11:
K3SmAs2S8 PBE-GGA relaxed; symmetry = C2/c (15); E_form (uncorrected) = -915 meV/atom; total moment = 0.00 μB per cell
1.0
11.0522 -0.0558 0.0228
-5.9667 9.3034 0.0228
2.0351 3.7006 8.0716
As K S Sm
4 6 16 2
direct
0.9072 0.6568 0.6009
0.0928 0.3432 0.3991
0.3432 0.0928 0.8991
0.6568 0.9072 0.1009
0.5000 0.5000 0.5000
0.5000 0.5000 0.0000
0.2546 0.7454 0.7500
0.0032 0.9968 0.7500
0.7454 0.2546 0.2500
0.9968 0.0032 0.2500
0.1259 0.4728 0.5571
0.2691 0.2381 0.8725
0.5043 0.8614 0.3418
0.8409 0.1306 0.5258
0.7619 0.7309 0.6275
0.8741 0.5272 0.4429
0.1591 0.8694 0.4742
0.4957 0.1386 0.6582
0.1306 0.8409 0.0258
0.4728 0.1259 0.0571
0.2381 0.2691 0.3725
0.8614 0.5043 0.8418
0.8694 0.1591 0.9742
0.7309 0.7619 0.1275
0.1386 0.4957 0.1582
0.5272 0.8741 0.9429
0.2430 0.7570 0.2500
0.7570 0.2430 0.7500

---

Entry 12:
LaPuSbBr PBE-GGA relaxed; symmetry = F-43m (216); E_form (uncorrected) = -980 meV/atom; total moment = 6.88 μB per cell
1.0
-2.0760 5.0260 0.0071
-1.1447 2.4623 4.7114
3.0289 4.1905 1.6841
La Br Pu Sb
1 1 1 1
direct
0.0000 0.0000 0.0000
0.7500 0.7500 0.7500
0.5000 0.5000 0.5000
0.2500 0.2500 0.2500

---

Entry 13:
Y2CrP PBE-GGA relaxed; symmetry = C2 (5); total moment = 0.04 μB per cell; formation enthalpy at 0 K = -0.49 eV per atom
1.0
3.8261 0.0000 0.0005
0.0000 11.8251 0.0000
-0.0751 0.0000 7.8654
Y Cr P
8 4 4
direct
0.4976 0.9371 0.7438
0.9880 0.1903 0.6961
0.5024 0.9371 0.2562
0.0120 0.6903 0.8039
0.0120 0.1903 0.3039
0.5024 0.4371 0.7562
0.9880 0.6903 0.1961
0.4976 0.4371 0.2438
0.5000 0.6994 0.5000
0.0000 0.0900 0.0000
0.0000 0.5900 0.5000
0.5000 0.1994 0.0000
0.0000 0.3158 0.0000
0.0000 0.8918 0.0000
0.0000 0.8158 0.5000
0.0000 0.3918 0.5000

---

Entry 14:
Hf2TaH PBE-GGA relaxed; E above lowest polymorph = 19.9 meV/atom; symmetry = R-3m (166); total moment = 0.00 μB per cell
1.0
3.0117 0.0000 0.0000
1.5059 2.6082 0.0000
1.5059 0.8694 8.3888
Ta Hf H
1 2 1
direct
0.0000 0.0000 0.0000
0.1111 0.1111 0.6668
0.8889 0.8889 0.3332
0.5000 0.5000 0.5000

---

Entry 15:
YNi3 PBE-GGA relaxed; symmetry = Pm-3n (223); total moment = 0.01 μB per cell; formation enthalpy at 0 K = -0.03 eV per atom
1.0
-3.8641 -2.6943 1.4509
2.2914 -4.0965 -1.5046
2.0282 -0.5051 4.4640
Y Ni
2 6
direct
0.5000 0.5000 0.5000
0.0000 0.0000 0.0000
0.7500 0.5000 0.0000
0.0000 0.2500 0.5000
0.5000 0.0000 0.2500
0.5000 0.0000 0.7500
0.2500 0.5000 0.0000
0.0000 0.7500 0.5000

---

Entry 16:
Tl3PtCl PBE-GGA relaxed; E above lowest polymorph = 787.7 meV/atom; symmetry = Pm-3m (221); E_form (uncorrected) = 350 meV/atom; total moment = 0.00 μB per cell
1.0
-3.2237 -2.7793 3.8282
-1.4813 -3.8065 -4.0110
4.4928 -3.2493 1.4243
Tl Pt Cl
3 1 1
direct
0.0000 0.5000 0.0000
0.5000 0.0000 0.0000
0.0000 0.0000 0.5000
0.5000 0.5000 0.5000
0.0000 0.0000 0.0000

---

Entry 17:
Mn2BiSe4 PBE-GGA relaxed; symmetry = Cmcm (63); E_form (uncorrected) = -375 meV/atom; total moment = 17.93 μB per cell
1.0
-0.0298 0.3049 -3.8960
-6.3309 0.2185 2.0256
0.7559 12.7235 0.9900
Mn Se Bi
4 8 2
direct
0.8661 0.7322 0.9381
0.1339 0.2678 0.0619
0.1339 0.2678 0.4381
0.8661 0.7322 0.5619
0.2306 0.4612 0.6113
0.7694 0.5388 0.1113
0.5000 0.0000 0.5000
0.2306 0.4612 0.8887
0.9385 0.8770 0.7500
0.7694 0.5388 0.3887
0.0615 0.1230 0.2500
0.5000 0.0000 0.0000
0.3968 0.7936 0.2500
0.6032 0.2064 0.7500

---

Entry 18:
TbPr3In12 PBE-GGA relaxed; symmetry = P4/mmm (123); total moment = 0.00 μB per cell; formation enthalpy at 0 K = -0.46 eV per atom
1.0
4.7139 0.0000 0.0000
0.0000 4.7139 0.0000
0.0000 0.0000 18.9193
In Tb Pr
12 1 3
direct
0.0000 0.5000 0.3737
0.5000 0.0000 0.8787
0.5000 0.0000 0.3737
0.5000 0.0000 0.6263
0.0000 0.5000 0.8787
0.0000 0.5000 0.6263
0.0000 0.5000 0.1213
0.5000 0.5000 0.0000
0.5000 0.0000 0.1213
0.5000 0.5000 0.7512
0.5000 0.5000 0.5000
0.5000 0.5000 0.2488
0.0000 0.0000 0.0000
0.0000 0.0000 0.5000
0.0000 0.0000 0.2472
0.0000 0.0000 0.7528

---

Entry 19:
CsEuAg2 PBE-GGA relaxed; symmetry = P4/mmm (123); total moment = 7.26 μB per cell; formation enthalpy at 0 K = -0.10 eV per atom
1.0
-1.1513 -3.0614 2.5013
3.0776 -2.3292 -1.4343
5.0868 3.0104 6.0259
Cs Ag Eu
1 2 1
direct
0.5000 0.5000 0.5000
0.0000 0.0000 0.8238
0.0000 0.0000 0.1762
0.5000 0.5000 0.0000

---

Entry 20:
Zr2BeZnH PBE-GGA relaxed; symmetry = P4/mmm (123); total moment = 0.00 μB per cell; total energy = -5.26 eV/atom
1.0
4.3844 0.0000 0.0000
0.0000 4.3844 0.0000
0.0000 0.0000 3.6781
Zr Be H Zn
2 1 1 1
direct
0.5000 0.0000 0.0000
0.0000 0.5000 0.0000
0.0000 0.0000 0.5000
0.0000 0.0000 0.0000
0.5000 0.5000 0.5000

---

Entry 21:
K3InF4 PBE-GGA relaxed; symmetry = Pmn2_1 (31); E_form (uncorrected) = -2458 meV/atom; total moment = 0.00 μB per cell
1.0
5.5505 0.0000 0.0000
0.0000 5.5426 0.0000
0.0000 0.0000 10.7585
F In K
8 2 6
direct
0.0434 0.2455 0.2545
0.5434 0.7545 0.7545
0.1563 0.7465 0.5000
0.0490 0.8554 0.0000
0.6563 0.2535 0.0000
0.0434 0.2455 0.7455
0.5490 0.1446 0.5000
0.5434 0.7545 0.2455
0.5660 0.7342 0.5000
0.0660 0.2658 0.0000
0.5559 0.7576 0.0000
0.5506 0.2493 0.7500
0.5506 0.2493 0.2500
0.0506 0.7507 0.7500
0.0506 0.7507 0.2500
0.0559 0.2424 0.5000

---

Entry 22:
CrInFe PBE-GGA relaxed; symmetry = P3m1 (156); total moment = 0.08 μB per cell; formation enthalpy at 0 K = 0.44 eV per atom
1.0
-4.1470 0.6584 -0.7888
1.2059 -3.2036 2.5566
-0.1522 1.7414 2.2539
Fe In Cr
1 1 1
direct
0.3333 0.6667 0.2441
0.6667 0.3333 0.6547
0.0000 0.0000 0.1012

---

Entry 23:
TbYTeP PBE-GGA relaxed; symmetry = R3m (160); E_form (uncorrected) = -1539 meV/atom; total moment = 0.00 μB per cell
1.0
-4.0083 -0.3819 0.6963
1.5839 -1.2466 -3.5548
3.2608 -5.9257 3.5312
Tb Te P Y
1 1 1 1
direct
0.1081 0.9520 0.0754
0.9683 0.3822 0.3656
0.3055 0.5506 0.8714
0.4960 0.1459 0.6572

---

Across the entries above, N(E_F) takes the values 0.1353 0.5286 1.1730 0.3452 0.2852 0.5125 0.5845 0.4033 0.5124 0.6102 0.0000 2.3967 0.8629 0.8639 1.8643 0.0378 0.3384 0.6178 3.1212 0.6216 0.0000 0.9735 0.6348 states/eV per atom, respectively.